[1]
DFT (PBE) results for a geometry-optimized ScTeW structure.

- N(E_F) (states/eV/f.u.) = 2.98
- formation energy without anion corrections (eV per atom) = 0.212
- raw total energy (eV per atom) = -7.264

Unit cell a=3.3933 b=3.3933 c=6.4717 alpha=90.00 beta=90.00 gamma=120.00
With the nearest neighbours (Å) after each atom.
Space group P3m1 (No. 156)
Inequivalent atoms, fractional coordinates:
Sc  0.0000  0.0000  0.0000 (multiplicity 1)  3 W 2.85, 3 Te 3.16
Te  0.6667  0.3333  0.3826 (multiplicity 1)  3 W 2.75
W  0.3333  0.6667  0.6802 (multiplicity 1)  3 Te 2.75, 3 Sc 2.85



[2]
DFT (PBE) results for a geometry-optimized ScTeW2 structure.

- N(E_F) (states/eV/f.u.) = 3.53
- formation energy without anion corrections (eV per atom) = 0.310
- raw total energy (eV per atom) = -8.535

Unit cell a=4.6522 b=3.3260 c=4.9265 alpha=90.00 beta=104.14 gamma=90.00
With the nearest neighbours (Å) after each atom.
Space group P2/m (No. 10)
Inequivalent atoms, fractional coordinates:
Sc  0.0000  0.0000  0.0000 (multiplicity 1)  4 Te 2.86, 6 W 2.95-2.97
Te  0.5000  0.5000  0.0000 (multiplicity 1)  4 Sc 2.86, 6 W 2.95-2.97
W  0.0000  0.5000  0.5000 (multiplicity 1)  4 W 2.86, 2 Te 2.95, 4 Sc 2.97
W  0.5000  0.0000  0.5000 (multiplicity 1)  4 W 2.86, 2 Sc 2.95, 4 Te 2.97



[3]
DFT (PBE) results for a geometry-optimized ScTeW2 structure.

- N(E_F) (states/eV/f.u.) = 3.74
- formation energy without anion corrections (eV per atom) = 0.757
- raw total energy (eV per atom) = -8.088

Unit cell a=3.4672 b=4.9062 c=8.9893 alpha=90.00 beta=90.00 gamma=90.00
With the nearest neighbours (Å) after each atom.
Space group Cmmm (No. 65)
Inequivalent atoms, fractional coordinates:
Sc  0.0000  0.0000  0.0000 (multiplicity 2)  4 W 2.87, 4 Sc 3.00
Te  0.0000  0.0000  0.5000 (multiplicity 2)  4 W 2.81, 4 Te 3.00
W  0.0000  0.5000  0.2546 (multiplicity 4)  2 Te 2.81, 2 Sc 2.87, 4 W 3.00



[4]
DFT (PBE) results for a geometry-optimized Sc2TeW structure.

- N(E_F) (states/eV/f.u.) = 2.51
- formation energy without anion corrections (eV per atom) = -0.246
- raw total energy (eV per atom) = -7.436

Unit cell a=3.5959 b=3.5959 c=6.3211 alpha=90.00 beta=90.00 gamma=90.00
With the nearest neighbours (Å) after each atom.
Space group P4/mmm (No. 123)
Inequivalent atoms, fractional coordinates:
Sc  0.0000  0.0000  0.2343 (multiplicity 2)  4 W 2.94, 1 Sc 2.96, 4 Te 3.05
Te  0.5000  0.5000  0.5000 (multiplicity 1)  8 Sc 3.05, 2 W 3.16
W  0.5000  0.5000  0.0000 (multiplicity 1)  8 Sc 2.94, 2 Te 3.16



[5]
DFT (PBE) results for a geometry-optimized ScTeW2 structure.

- N(E_F) (states/eV/f.u.) = 2.84
- formation energy without anion corrections (eV per atom) = 0.209
- raw total energy (eV per atom) = -8.636

Unit cell a=3.4487 b=3.4487 c=6.3859 alpha=90.00 beta=90.00 gamma=90.00
With the nearest neighbours (Å) after each atom.
Space group P4mm (No. 99)
Inequivalent atoms, fractional coordinates:
Sc  0.0000  0.0000  0.0000 (multiplicity 1)  5 W 2.93-2.94, 4 Te 2.95
Te  0.5000  0.5000  0.2589 (multiplicity 1)  4 Sc 2.95, 6 W 3.03-3.28
W  0.0000  0.0000  0.5399 (multiplicity 1)  4 W 2.77, 1 Sc 2.94, 4 Te 3.03
W  0.5000  0.5000  0.7452 (multiplicity 1)  4 W 2.77, 4 Sc 2.93



[6]
DFT (PBE) results for a geometry-optimized ScTeW structure.

- N(E_F) (states/eV/f.u.) = 2.31
- formation energy without anion corrections (eV per atom) = 0.343
- raw total energy (eV per atom) = -7.133

Unit cell a=3.6294 b=5.2003 c=13.0875 alpha=90.00 beta=90.00 gamma=90.00
With the nearest neighbours (Å) after each atom.
Space group Fmm2 (No. 42)
Inequivalent atoms, fractional coordinates:
Sc  0.0000  0.0000  0.0000 (multiplicity 4)  2 W 2.79, 2 Te 2.95
Te  0.0000  0.0000  0.6773 (multiplicity 4)  2 W 2.78, 2 Sc 2.95
W  0.0000  0.0000  0.3378 (multiplicity 4)  2 Te 2.78, 2 Sc 2.79



[7]
DFT (PBE) results for a geometry-optimized Sc3TeW structure.

- N(E_F) (states/eV/f.u.) = 5.96
- formation energy without anion corrections (eV per atom) = 0.923
- raw total energy (eV per atom) = -6.094

Unit cell a=5.1844 b=5.1844 c=5.1844 alpha=90.00 beta=90.00 gamma=90.00
With the nearest neighbours (Å) after each atom.
Space group Pm-3m (No. 221)
Inequivalent atoms, fractional coordinates:
Sc  0.0000  0.0000  0.5000 (multiplicity 3)  2 Te 2.59
Te  0.0000  0.0000  0.0000 (multiplicity 1)  6 Sc 2.59
W  0.5000  0.5000  0.5000 (multiplicity 1)  12 Sc 3.67



[8]
DFT (PBE) results for a geometry-optimized Sc2TeW structure.

- N(E_F) (states/eV/f.u.) = 4.67
- formation energy without anion corrections (eV per atom) = 0.518
- raw total energy (eV per atom) = -6.671

Unit cell a=4.2680 b=4.2680 c=19.4596 alpha=90.00 beta=90.00 gamma=90.00
With the nearest neighbours (Å) after each atom.
Space group I-42d (No. 122)
Inequivalent atoms, fractional coordinates:
Sc  0.2473  0.2500  0.1250 (multiplicity 8)  2 W 2.86, 2 Te 2.87, 4 Sc 3.00-3.03
Te  0.0000  0.0000  0.5000 (multiplicity 4)  4 Sc 2.87, 4 W 3.02
W  0.0000  0.0000  0.0000 (multiplicity 4)  4 Sc 2.86, 4 Te 3.02